The following is a PBE calculation of an optimized crystal structure of BeTcP2, from the Alexandria database.

The structure in CIF format:
```
data_BeTcP2
_cell_length_a 3.017
_cell_length_b 4.803
_cell_length_c 7.205
_cell_angle_alpha 90.00
_cell_angle_beta 90.00
_cell_angle_gamma 90.00
_symmetry_space_group_name_H-M 'C m m m'
_symmetry_Int_Tables_number 65
_symmetry_space_group_name_Hall '-C 2 2'
loop_
_atom_site_label
_atom_site_fract_x
_atom_site_fract_y
_atom_site_fract_z
_atom_site_occupancy
Be1 0.000 0.000 0.000 1
Tc1 0.000 0.000 0.500 1
P1 0.000 0.500 0.235 1
```

## Properties
Formation enthalpy at 0 K (eV per atom): 0.278
Uncorrected energy (eV per atom): -5.95